(1)
LiVW2 | PBE-GGA | relaxed

## Properties
Energy above the lowest structure with this stoichiometry ... 0 meV per atom
Total DFT energy (no corrections) ... -8.749 eV per atom

abc: 4.3219 4.3219 4.3219
angles: 60.00 60.00 60.00
Positions (direct):
W 0.7500 0.7500 0.7500
W 0.2500 0.2500 0.2500
V 0.5000 0.5000 0.5000
Li 0.0000 0.0000 0.0000

***

(2)
CsHgMoCl6 | PBE-GGA | relaxed

## Properties
Total DFT energy (no corrections) ... -3.610 eV per atom
Raw formation energy ... -101 kJ/mol of atoms

abc: 6.8897 6.8899 7.6440
angles: 90.01 90.00 60.00
Positions (direct):
Mo 0.3333 0.3333 0.5000
Cl 0.0326 0.6128 0.6858
Cl 0.6127 0.0326 0.3142
Cl 0.3546 0.6128 0.3142
Cl 0.6127 0.3546 0.6858
Cl 0.0326 0.3546 0.3142
Cl 0.3546 0.0326 0.6858
Hg 0.6667 0.6667 0.5000
Cs 0.0000 0.0000 0.0000

***

(3)
KReCl | PBE-GGA | relaxed

## Properties
Energy above the lowest structure with this stoichiometry ... 666 meV per atom
Total DFT energy (no corrections) ... -3.655 eV per atom
Raw formation energy ... 142 kJ/mol of atoms

abc: 5.6150 5.6150 5.6150
angles: 60.00 60.00 60.00
Positions (direct):
Re 0.0000 0.0000 0.0000
Cl 0.5000 0.5000 0.5000
K 0.7500 0.7500 0.7500

***

(4)
LaEuHo | PBE-GGA | relaxed

## Properties
Energy above the lowest structure with this stoichiometry ... 0 meV per atom
Total DFT energy (no corrections) ... -6.546 eV per atom

abc: 3.6987 3.6987 9.1080
angles: 90.00 90.00 120.00
Positions (direct):
Ho 0.6667 0.3333 0.3397
Eu 0.0000 0.0000 0.0069
La 0.3333 0.6667 0.6535

***

(5)
V7GaSi5 | PBE-GGA | relaxed

## Properties
Total DFT energy (no corrections) ... -7.434 eV per atom
Raw formation energy ... -20 kJ/mol of atoms

abc: 4.8933 6.5339 6.5339
angles: 81.60 68.01 68.01
Positions (direct):
Si 0.5054 0.4905 0.0010
Si 0.7346 0.7654 0.7654
Si 0.0031 0.0010 0.4905
Si 0.5054 0.0010 0.4905
Si 0.0031 0.4905 0.0010
Ga 0.9583 0.0417 0.0417
V 0.0049 0.6380 0.3523
V 0.6220 0.3780 0.3780
V 0.0049 0.3523 0.6380
V 0.5050 0.8054 0.1847
V 0.3683 0.6317 0.6317
V 0.2802 0.2198 0.2198
V 0.5050 0.1847 0.8054

***

(6)
Cd2AgSn | PBE-GGA | relaxed

## Properties
Total DFT energy (no corrections) ... -2.073 eV per atom

abc: 4.6791 4.6791 5.7080
angles: 65.80 65.80 60.00
Positions (direct):
Ag 0.0000 0.0000 0.0000
Sn 0.5000 0.5000 0.5000
Cd 0.2696 0.2696 0.1912
Cd 0.7304 0.7304 0.8088

***

(7)
Li2Tl2AgPd2 | PBE-GGA | relaxed

## Properties
Total DFT energy (no corrections) ... -3.370 eV per atom

abc: 4.1201 5.0418 6.7062
angles: 98.98 90.00 114.12
Positions (direct):
Tl 0.5911 0.1821 0.7220
Tl 0.4089 0.8179 0.2780
Pd 0.8625 0.7251 0.5816
Pd 0.1375 0.2749 0.4184
Li 0.7014 0.4029 0.1775
Li 0.2986 0.5971 0.8225
Ag 0.0000 0.0000 0.0000

***

(8)
RbCaSc2Ni | PBE-GGA | relaxed

## Properties
Total DFT energy (no corrections) ... -2.557 eV per atom

abc: 4.9934 5.3603 4.9934
angles: 90.00 90.00 90.00
Positions (direct):
Ca 0.0000 0.5000 0.0000
Ni 0.5000 0.5000 0.5000
Sc 0.0000 0.0000 0.5000
Sc 0.5000 0.0000 0.0000
Rb 0.0000 0.0000 0.0000

***

(9)
K2RbBiCl | PBE-GGA | relaxed

## Properties
Total DFT energy (no corrections) ... -2.623 eV per atom
Raw formation energy ... -82 kJ/mol of atoms

abc: 5.9744 5.9744 6.2470
angles: 90.00 90.00 90.00
Positions (direct):
K 0.0000 0.5000 0.0000
K 0.5000 0.0000 0.0000
Bi 0.5000 0.5000 0.5000
Rb 0.0000 0.0000 0.5000
Cl 0.0000 0.0000 0.0000

***

(10)
Li5ZnPd | PBE-GGA | relaxed

## Properties
Energy above the lowest structure with this stoichiometry ... 0 meV per atom
Total DFT energy (no corrections) ... -2.465 eV per atom

abc: 5.3143 5.3143 9.5654
angles: 81.37 81.37 57.07
Positions (direct):
Li 0.2634 0.2126 0.2991
Li 0.3606 0.3480 0.0255
Li 0.7874 0.7366 0.2009
Li 0.2675 0.7325 0.2500
Li 0.6520 0.6394 0.4745
Li 0.2126 0.2634 0.7991
Li 0.7366 0.7874 0.7009
Li 0.6394 0.6520 0.9745
Li 0.3480 0.3606 0.5255
Li 0.7325 0.2675 0.7500
Zn 0.0000 0.0000 0.5000
Zn 0.0000 0.0000 0.0000
Pd 0.7668 0.2332 0.2500
Pd 0.2332 0.7668 0.7500

***

(11)
TaPbAu2 | PBE-GGA | relaxed

## Properties
Total DFT energy (no corrections) ... -5.201 eV per atom

abc: 3.1565 4.9774 5.0883
angles: 90.00 90.00 90.00
Positions (direct):
Pb 0.5000 0.0000 0.5000
Au 0.5000 0.5000 0.0000
Au 0.0000 0.0000 0.0000
Ta 0.0000 0.5000 0.5000

***

(12)
La3ReMo | PBE-GGA | relaxed

## Properties
Total DFT energy (no corrections) ... -6.769 eV per atom

abc: 5.5091 5.5091 5.5091
angles: 90.00 90.00 90.00
Positions (direct):
La 0.5000 0.0000 0.0000
La 0.0000 0.5000 0.0000
La 0.0000 0.0000 0.5000
Re 0.0000 0.0000 0.0000
Mo 0.5000 0.5000 0.5000

***

(13)
YMg4Se | PBE-GGA | relaxed

## Properties
Total DFT energy (no corrections) ... -2.736 eV per atom
Raw formation energy ... -1 kJ/mol of atoms

abc: 5.9324 5.9324 5.9324
angles: 60.00 60.00 60.00
Positions (direct):
Mg 0.3742 0.3742 0.3742
Mg 0.8774 0.3742 0.3742
Mg 0.3742 0.8774 0.3742
Mg 0.3742 0.3742 0.8774
Y 0.0000 0.0000 0.0000
Se 0.7500 0.7500 0.7500

***

(14)
NaCdP2S | PBE-GGA | relaxed

## Properties
Energy above the lowest structure with this stoichiometry ... 469 meV per atom
Total DFT energy (no corrections) ... -2.311 eV per atom
Raw formation energy ... 109 kJ/mol of atoms

abc: 4.9072 4.9072 4.8891
angles: 90.00 90.00 90.00
Positions (direct):
Na 0.0000 0.0000 0.0000
S 0.0000 0.0000 0.5000
Cd 0.5000 0.5000 0.5000
P 0.0000 0.5000 0.0000
P 0.5000 0.0000 0.0000

***

(15)
Ca2NiPt | PBE-GGA | relaxed

## Properties
Total DFT energy (no corrections) ... -4.111 eV per atom

abc: 7.5642 7.5642 6.1228
angles: 51.85 51.85 90.00
Positions (direct):
Pt 0.0000 0.0000 0.0000
Pt 0.7500 0.2500 0.5000
Ca 0.8750 0.8617 0.7500
Ca 0.6117 0.1250 0.2500
Ca 0.1383 0.6250 0.2500
Ca 0.3750 0.3883 0.7500
Ni 0.5000 0.5000 0.0000
Ni 0.2500 0.7500 0.5000

***

(16)
SmDy4Er2Sc | PBE-GGA | relaxed

## Properties
Total DFT energy (no corrections) ... -4.791 eV per atom

abc: 4.9658 4.9581 11.0901
angles: 63.48 90.00 90.00
Positions (direct):
Er 0.0000 0.0000 0.0000
Er 0.5000 0.0000 0.5000
Dy 0.5000 0.2562 0.7439
Dy 0.5000 0.7438 0.2561
Dy 0.0000 0.7563 0.7438
Dy 0.0000 0.2437 0.2562
Sc 0.0000 0.5000 0.5000
Sm 0.5000 0.5000 0.0000

***

(17)
ZrFeMo4 | PBE-GGA | relaxed

## Properties
Total DFT energy (no corrections) ... -9.800 eV per atom

abc: 5.2821 5.2821 5.2821
angles: 60.00 60.00 60.00
Positions (direct):
Fe 0.0000 0.0000 0.0000
Mo 0.3745 0.8766 0.3745
Mo 0.3745 0.3745 0.8766
Mo 0.3745 0.3745 0.3745
Mo 0.8766 0.3745 0.3745
Zr 0.7500 0.7500 0.7500

***

(18)
CdCuPt | PBE-GGA | relaxed

## Properties
Energy above the lowest structure with this stoichiometry ... 1 meV per atom
Total DFT energy (no corrections) ... -3.857 eV per atom

abc: 4.9662 4.9662 4.9662
angles: 145.96 135.13 57.50
Positions (direct):
Pt 0.6773 0.6773 0.0000
Cu 0.3239 0.3239 0.0000
Cd 0.9988 0.9988 0.0000

***

(19)
LiCoAu2 | PBE-GGA | relaxed

## Properties
Total DFT energy (no corrections) ... -4.044 eV per atom

abc: 6.9652 4.6003 2.7961
angles: 90.09 66.20 129.37
Positions (direct):
Co 0.0000 0.5000 0.5000
Au 0.0000 0.0000 0.0000
Au 0.5000 0.0000 0.5000
Li 0.5000 0.5000 0.0000

***

(20)
Tb2YRh | PBE-GGA | relaxed

## Properties
Energy above the lowest structure with this stoichiometry ... 0 meV per atom
Total DFT energy (no corrections) ... -6.284 eV per atom

abc: 6.2901 7.1937 9.5751
angles: 90.00 90.00 90.00
Positions (direct):
Y 0.8627 0.0343 0.2500
Y 0.6373 0.5343 0.2500
Y 0.3627 0.4657 0.7500
Y 0.1373 0.9657 0.7500
Tb 0.6703 0.8227 0.5637
Tb 0.1703 0.6773 0.0637
Tb 0.1703 0.6773 0.4363
Tb 0.8297 0.3227 0.5637
Tb 0.8297 0.3227 0.9363
Tb 0.3297 0.1773 0.0637
Tb 0.6703 0.8227 0.9363
Tb 0.3297 0.1773 0.4363
Rh 0.4375 0.8825 0.2500
Rh 0.5625 0.1175 0.7500
Rh 0.0625 0.3825 0.2500
Rh 0.9375 0.6175 0.7500

***

(21)
TaMo | PBE-GGA | relaxed

## Properties
Total DFT energy (no corrections) ... -11.471 eV per atom

abc: 3.2317 4.5845 9.1286
angles: 90.00 90.00 90.00
Positions (direct):
Ta 0.5000 0.0000 0.7559
Ta 0.5000 0.5000 0.5070
Ta 0.0000 0.0000 0.4930
Ta 0.0000 0.5000 0.2441
Mo 0.0000 0.5000 0.7577
Mo 0.5000 0.0000 0.2423
Mo 0.5000 0.5000 0.9953
Mo 0.0000 0.0000 0.0047

***

(22)
TlV2Ga | PBE-GGA | relaxed

## Properties
Energy above the lowest structure with this stoichiometry ... 0 meV per atom
Total DFT energy (no corrections) ... -5.471 eV per atom

abc: 4.5858 4.5858 4.5858
angles: 60.00 60.00 60.00
Positions (direct):
Tl 0.5000 0.5000 0.5000
Ga 0.0000 0.0000 0.0000
V 0.2500 0.2500 0.2500
V 0.7500 0.7500 0.7500

***

(23)
Mg3Be2Pd5 | PBE-GGA | relaxed

## Properties
Total DFT energy (no corrections) ... -4.458 eV per atom

abc: 3.2455 9.5106 9.5106
angles: 90.00 90.00 90.00
Positions (direct):
Pd 0.5000 0.5729 0.7122
Pd 0.5000 0.5000 0.0000
Pd 0.5000 0.2122 0.0729
Pd 0.5000 0.7122 0.4271
Pd 0.5000 0.7878 0.9271
Pd 0.5000 0.4271 0.2878
Pd 0.5000 0.0000 0.5000
Pd 0.5000 0.9271 0.2122
Pd 0.5000 0.0729 0.7878
Pd 0.5000 0.2878 0.5729
Be 0.0000 0.8754 0.3754
Be 0.0000 0.1246 0.6246
Be 0.0000 0.3754 0.1246
Be 0.0000 0.6246 0.8754
Mg 0.0000 0.3259 0.8259
Mg 0.0000 0.5000 0.5000
Mg 0.0000 0.8259 0.6741
Mg 0.0000 0.1741 0.3259
Mg 0.0000 0.6741 0.1741
Mg 0.0000 0.0000 0.0000

***

(24)
BeInPb3 | PBE-GGA | relaxed

## Properties
Energy above the lowest structure with this stoichiometry ... 0 meV per atom
Total DFT energy (no corrections) ... -3.174 eV per atom

abc: 5.1978 5.1978 5.1978
angles: 90.00 90.00 90.00
Positions (direct):
Pb 0.5000 0.0000 0.0000
Pb 0.0000 0.0000 0.5000
Pb 0.0000 0.5000 0.0000
In 0.5000 0.5000 0.5000
Be 0.0000 0.0000 0.0000

***

(25)
UPt4 | PBE-GGA | relaxed

## Properties
Total DFT energy (no corrections) ... -7.736 eV per atom

abc: 4.2285 5.8211 8.0163
angles: 111.29 105.29 90.00
Positions (direct):
Pt 0.0908 0.3408 0.1815
Pt 0.3092 0.7925 0.6185
Pt 0.6908 0.6741 0.3815
Pt 0.9092 0.6592 0.8185
Pt 0.6908 0.2075 0.3815
Pt 0.5000 0.0000 0.0000
Pt 0.5000 0.5000 0.0000
Pt 0.3092 0.3259 0.6185
U 0.1172 0.8672 0.2343
U 0.8828 0.1328 0.7657